Entry 1:
Here is a relaxed structure of SbIr9 from the Open Quantum Materials Database. Energies are from PBE-GGA.

Summary:
- calculated density (g cm⁻³) = 16.26
- energy above the lowest structure with this stoichiometry (kJ/mol of formula units) = 53

Lattice parameters (Å, degrees): 2.7681 2.7681 49.3689 90.00 90.00 90.00
Positions (direct):
Sb (0.2500, 0.2500, 0.1289)
Sb (0.7500, 0.7500, 0.8711)
Ir (0.2500, 0.2500, 0.2110)
Ir (0.2500, 0.2500, 0.2881)
Ir (0.2500, 0.2500, 0.3652)
Ir (0.2500, 0.2500, 0.4422)
Ir (0.2500, 0.2500, 0.5192)
Ir (0.2500, 0.2500, 0.5963)
Ir (0.2500, 0.2500, 0.6733)
Ir (0.2500, 0.2500, 0.7506)
Ir (0.2500, 0.2500, 0.8276)
Ir (0.7500, 0.7500, 0.1724)
Ir (0.7500, 0.7500, 0.2494)
Ir (0.7500, 0.7500, 0.3267)
Ir (0.7500, 0.7500, 0.4037)
Ir (0.7500, 0.7500, 0.4808)
Ir (0.7500, 0.7500, 0.5578)
Ir (0.7500, 0.7500, 0.6348)
Ir (0.7500, 0.7500, 0.7119)
Ir (0.7500, 0.7500, 0.7890)

---

Entry 2:
Here is a relaxed structure of TlCuTcSe3 from the Open Quantum Materials Database. Energies are from PBE-GGA.

Summary:
- calculated density (g cm⁻³) = 7.80
- energy above the lowest structure with this stoichiometry (kJ/mol of formula units) = 50

Lattice parameters (Å, degrees): 12.3823 3.3795 12.2655 90.00 90.00 90.00
Positions (direct):
Tl (0.1395, 0.2500, 0.0114)
Tl (0.3605, 0.7500, 0.5114)
Tl (0.6395, 0.2500, 0.4886)
Tl (0.8605, 0.7500, 0.9886)
Cu (0.2346, 0.7500, 0.8299)
Cu (0.2654, 0.2500, 0.3299)
Cu (0.7346, 0.7500, 0.6701)
Cu (0.7654, 0.2500, 0.1701)
Tc (0.0420, 0.2500, 0.6392)
Tc (0.4580, 0.7500, 0.1392)
Tc (0.5420, 0.2500, 0.8608)
Tc (0.9580, 0.7500, 0.3608)
Se (0.0327, 0.7500, 0.7888)
Se (0.0947, 0.2500, 0.4348)
Se (0.2407, 0.2500, 0.6838)
Se (0.2593, 0.7500, 0.1838)
Se (0.4053, 0.7500, 0.9348)
Se (0.4673, 0.2500, 0.2888)
Se (0.5327, 0.7500, 0.7112)
Se (0.5947, 0.2500, 0.0652)
Se (0.7407, 0.2500, 0.8162)
Se (0.7593, 0.7500, 0.3162)
Se (0.9053, 0.7500, 0.5652)
Se (0.9673, 0.2500, 0.2112)